A plane-wave DFT calculation with GGA-PBE was carried out for Sr2MoW after structural relaxation.

a = 5.774 Å, b = 5.774 Å, c = 5.718 Å
α = 85.10°, β = 85.10°, γ = 28.96°
Element x y z (fractional)
1 Sr 0.500 0.500 0.500
2 Sr 0.000 0.000 0.000
3 Mo 0.250 0.250 0.250
4 W 0.750 0.750 0.750

Properties
The value obtained for the formation energy from the elements is 1.45 eV per atom. The calculation puts the total magnetization at 0.00 Bohr magnetons per cell. The energy above the most stable polymorph in this dataset comes out at 851 meV/atom.